VASP calculation (PBE with a Hubbard U) on a relaxed structure of VO2.

Results
Its space group is R3m (160). As for the total energy: -7.572 eV per atom. The calculation puts the density of states at the Fermi level at 0.419 states/eV per atom.

```
data_VO2
_chemical_formula_sum 'V4 O8'
_symmetry_space_group_name_H-M 'P 1'
_symmetry_Int_Tables_number 1
_symmetry_space_group_name_Hall 'P 1'
_cell_length_a 5.869
_cell_length_b 5.869
_cell_length_c 5.869
_cell_angle_alpha 60.54
_cell_angle_beta 60.54
_cell_angle_gamma 60.54
loop_
_atom_site_label
_atom_site_type_symbol
_atom_site_fract_x
_atom_site_fract_y
_atom_site_fract_z
V1 V 0.000 0.000 0.000
V2 V 0.387 0.387 0.857
V3 V 0.387 0.857 0.387
V4 V 0.857 0.387 0.387
O1 O 0.122 0.122 0.623
O2 O 0.122 0.623 0.122
O3 O 0.135 0.135 0.135
O4 O 0.170 0.636 0.636
O5 O 0.622 0.622 0.622
O6 O 0.623 0.122 0.122
O7 O 0.636 0.170 0.636
O8 O 0.636 0.636 0.170
```